Entry 1:
This record from the Alexandria database describes an optimized crystal structure of BaAgMo3. The functional is GGA-PBE.

```
BaAgMo3
1.0
5.106 0.000 0.000
0.000 5.106 0.000
0.000 0.000 5.106
Ba Ag Mo
1 1 3
direct
0.000 0.000 0.000
0.500 0.500 0.500
0.000 0.500 0.500
0.500 0.000 0.500
0.500 0.500 0.000
```

Results
Crystal system: cubic


Entry 2:
This record from the Alexandria database describes an optimized crystal structure of BaAg2Mo. The functional is GGA-PBE.

```
BaAg2Mo
1.0
-1.805 2.666 5.233
1.805 -2.666 5.233
1.805 2.666 -5.233
Ba Ag Mo
1 2 1
direct
0.000 0.000 0.000
0.508 0.508 0.000
0.728 0.228 0.500
0.286 0.786 0.500
```

Results
Crystal system: orthorhombic


Entry 3:
This record from the Alexandria database describes an optimized crystal structure of BaAg2Mo. The functional is GGA-PBE.

```
BaAg2Mo
1.0
-2.298 2.298 4.739
2.298 -2.298 4.739
2.298 2.298 -4.739
Ba Ag Mo
1 2 1
direct
0.000 0.000 0.000
0.500 0.500 0.000
0.750 0.250 0.500
0.250 0.750 0.500
```

Results
Crystal system: tetragonal


Entry 4:
This record from the Alexandria database describes an optimized crystal structure of BaAg3Mo. The functional is GGA-PBE.

```
BaAg3Mo
1.0
5.958 0.000 0.000
0.000 5.958 0.000
0.000 0.000 5.958
Ba Ag Mo
1 3 1
direct
0.000 0.000 0.000
0.000 0.000 0.500
0.000 0.500 0.000
0.500 0.000 0.000
0.500 0.500 0.500
```

Results
Crystal system: cubic


Entry 5:
This record from the Alexandria database describes an optimized crystal structure of BaAg2Mo. The functional is GGA-PBE.

```
BaAg2Mo
1.0
0.000 3.730 3.730
3.730 0.000 3.730
3.730 3.730 0.000
Ba Ag Mo
1 2 1
direct
0.000 0.000 0.000
0.250 0.250 0.250
0.750 0.750 0.750
0.500 0.500 0.500
```

Results
Crystal system: cubic


Entry 6:
This record from the Alexandria database describes an optimized crystal structure of BaAg2Mo. The functional is GGA-PBE.

```
BaAg2Mo
1.0
1.545 0.892 10.573
-1.545 0.892 10.573
0.000 -1.784 10.573
Ba Ag Mo
1 2 1
direct
0.000 0.000 0.000
0.238 0.238 0.238
0.762 0.762 0.762
0.500 0.500 0.500
```

Results
Crystal system: trigonal


Entry 7:
This record from the Alexandria database describes an optimized crystal structure of Ba4AgMo. The functional is GGA-PBE.

```
Ba4AgMo
1.0
0.000 5.083 5.083
5.083 0.000 5.083
5.083 5.083 0.000
Ba Ag Mo
4 1 1
direct
0.125 0.125 0.125
0.125 0.125 0.625
0.125 0.625 0.125
0.625 0.125 0.125
0.500 0.500 0.500
0.750 0.750 0.750
```

Results
Crystal system: cubic


Entry 8:
This record from the Alexandria database describes an optimized crystal structure of BaAg2Mo. The functional is GGA-PBE.

```
BaAg2Mo
1.0
-2.645 2.645 9.641
2.645 -2.645 9.641
2.645 2.645 -9.641
Ba Ag Mo
2 4 2
direct
0.375 0.625 0.750
0.625 0.375 0.250
0.000 0.000 0.000
0.000 0.000 0.500
0.000 0.500 0.000
0.500 0.000 0.500
0.125 0.875 0.250
0.875 0.125 0.750
```

Results
Crystal system: tetragonal


Respective size of the total moment values: 7.04, 3.62, 3.73, 4.97, 3.66, 0.02, 3.46, 7.73 Bohr magnetons per cell.
Respective final energy values: -5.34, -3.83, -3.80, -2.50, -3.87, -3.76, -2.46, -3.78 eV/atom.
Respective ΔH_f (0 K) values: 2.1143, 0.7881, 0.8162, 1.7625, 0.7466, 0.8558, 1.0982, 0.8332 eV per atom.